CsFeNF2: relaxed, PBE with a Hubbard U.

abc: 4.5299 4.5299 3.8716
angles: 90.00 90.00 90.00
Last column: nearest neighbours and their distance in Å.
Space group P4/mmm (No. 123)
Inequivalent atoms, fractional coordinates:
Cs (0.0000, 0.0000, 0.0000)  8 F 2.98, 4 N 3.20
Fe (0.5000, 0.5000, 0.5000)  2 N 1.94
N (0.5000, 0.5000, 0.0000)  2 Fe 1.94
F (0.0000, 0.5000, 0.5000)  2 Fe 2.26

Calculated values
Crystal system = tetragonal
Theoretical density = 5.0 g cm⁻³
D(E_F) = 2.67 states/eV/f.u.
Offset from the most stable computed form = 0.0000 eV/atom